Here is an optimized crystal structure of Zr2Nb from Alexandria via LeMat-Bulk. Energies are from PBE-GGA.

For the calculated formation energy, the calculation gives 0.044 eV/atom.

The space group is P-1 (No. 2) and the conventional cell measures 4.916, 5.792 and 5.806 Å, with angles of 63.32, 65.07 and 64.92 degrees. The distinct sites, in fractional coordinates, are Zr at (0.024, 0.224, 0.224), Zr at (0.329, 0.253, 0.590) and Nb at (0.355, 0.718, 0.076).